The following is a meta-GGA SCAN calculation of a PBEsol-optimized structure of Hg6BiSb4Br7, from Alexandria via LeMat-Bulk.

## Properties
total energy = -43.35 eV/atom
total magnetic moment = 0.00 Bohr magnetons per cell
volume = 30.78 Å³/atom
E_form (uncorrected) = -0.415 eV/atom

Structure (CIF):
```
data_Hg6BiSb4Br7
_symmetry_space_group_name_H-M 'P a -3'
_symmetry_Int_Tables_number 205
_symmetry_space_group_name_Hall '-P 2ac 2ab 3'
_cell_length_a 13.038
_cell_length_b 13.038
_cell_length_c 13.038
_cell_angle_alpha 90.00
_cell_angle_beta 90.00
_cell_angle_gamma 90.00
loop_
_atom_site_label
_atom_site_type_symbol
_atom_site_fract_x
_atom_site_fract_y
_atom_site_fract_z
Hg1 Hg 0.054 0.180 0.704
Bi1 Bi 0.000 0.000 0.000
Sb1 Sb 0.135 0.635 0.865
Sb2 Sb 0.239 0.239 0.239
Br1 Br 0.000 0.000 0.500
Br2 Br 0.046 0.552 0.291
```

=====

The following is a meta-GGA SCAN calculation of a PBEsol-optimized structure of BeSb2As, from Alexandria via LeMat-Bulk.

## Properties
total energy = -24.15 eV/atom
total magnetic moment = 0.00 Bohr magnetons per cell
volume = 20.18 Å³/atom
E_form (uncorrected) = 0.614 eV/atom

Structure (CIF):
```
data_BeSb2As
_symmetry_space_group_name_H-M 'F m -3 m'
_symmetry_Int_Tables_number 225
_symmetry_space_group_name_Hall '-F 4 2 3'
_cell_length_a 6.861
_cell_length_b 6.861
_cell_length_c 6.861
_cell_angle_alpha 90.00
_cell_angle_beta 90.00
_cell_angle_gamma 90.00
loop_
_atom_site_label
_atom_site_type_symbol
_atom_site_fract_x
_atom_site_fract_y
_atom_site_fract_z
Be1 Be 0.000 0.000 0.000
Sb1 Sb 0.250 0.250 0.250
As1 As 0.000 0.000 0.500
```